K2AlHg: optimized geometry, PBE.

Fermi-level density of states = 2.67 states/eV/f.u.
Symmetry = No. 10
Distance to the lowest polymorph of the same formula = 0.71 eV per formula unit
ρ = 3.57 Mg/m³

a b c (Å): 4.560 4.496 8.260
angles (deg): 57.08 90.00 90.00
Fractional coordinates of all 4 atoms:
K  0.000  0.998  0.001
K  0.000  0.502  0.499
Hg  0.500  0.750  0.750
Al  0.500  0.250  0.250

***

BaSc3: optimized geometry, PBE.

Fermi-level density of states = 6.99 states/eV/f.u.
Symmetry = No. 65
Distance to the lowest polymorph of the same formula = 0.53 eV per formula unit
ρ = 3.87 Mg/m³

a b c (Å): 5.973 5.973 3.464
angles (deg): 90.00 90.00 109.10
Fractional coordinates of all 4 atoms:
Ba  0.000  0.000  0.000
Sc  0.000  0.500  0.500
Sc  0.500  0.000  0.500
Sc  0.500  0.500  0.000

***

CsPOF2: optimized geometry, PBE.

Fermi-level density of states = 0.00 states/eV/f.u.
Symmetry = No. 123
Distance to the lowest polymorph of the same formula = 0.00 eV per formula unit
ρ = 4.53 Mg/m³

a b c (Å): 4.702 4.702 3.615
angles (deg): 90.00 90.00 90.00
Fractional coordinates of all 5 atoms:
Cs  0.500  0.500  0.500
P  0.000  0.000  0.000
O  0.000  0.000  0.500
F  0.000  0.500  0.000
F  0.500  0.000  0.000

***

NaAsOsSe2: optimized geometry, PBE.

Fermi-level density of states = 6.44 states/eV/f.u.
Symmetry = No. 123
Distance to the lowest polymorph of the same formula = 7.72 eV per formula unit
ρ = 6.26 Mg/m³

a b c (Å): 4.927 4.927 4.875
angles (deg): 90.00 90.00 90.00
Fractional coordinates of all 5 atoms:
Na  0.000  0.000  0.000
As  0.000  0.000  0.500
Os  0.500  0.500  0.500
Se  0.000  0.500  0.000
Se  0.500  0.000  0.000

***

ScTePb: optimized geometry, PBE.

Fermi-level density of states = 2.51 states/eV/f.u.
Symmetry = No. 187
Electronic total energy = -4.763 eV per atom
ρ = 7.30 Mg/m³

a b c (Å): 4.930 4.930 4.104
angles (deg): 90.00 90.00 120.00
Fractional coordinates of all 3 atoms:
Pb  0.000  0.000  0.000
Sc  0.333  0.667  0.500
Te  0.667  0.333  0.500

***

EuReN2: optimized geometry, PBE.

Fermi-level density of states = 0.63 states/eV/f.u.
Symmetry = No. 123
Distance to the lowest polymorph of the same formula = 2.20 eV per formula unit
ρ = 13.12 Mg/m³

a b c (Å): 2.768 2.768 6.050
angles (deg): 90.00 90.00 90.00
Fractional coordinates of all 4 atoms:
Eu  0.500  0.500  0.500
Re  0.500  0.500  0.000
N  0.000  0.000  0.801
N  0.000  0.000  0.199

***

Mg3PtO6: optimized geometry, PBE.

Fermi-level density of states = 7.53 states/eV/f.u.
Symmetry = No. 146
Electronic total energy = -5.754 eV per atom
ρ = 5.56 Mg/m³

a b c (Å): 5.204 5.204 5.526
angles (deg): 61.91 61.91 60.00
Fractional coordinates of all 10 atoms:
Mg  0.354  0.354  0.938
Mg  0.640  0.640  0.081
Mg  0.148  0.148  0.557
Pt  0.842  0.842  0.473
O  0.951  0.578  0.247
O  0.224  0.951  0.247
O  0.578  0.224  0.247
O  0.057  0.457  0.737
O  0.748  0.057  0.737
O  0.457  0.748  0.737

***

KCo2Pb: optimized geometry, PBE.

Fermi-level density of states = 3.63 states/eV/f.u.
Symmetry = No. 6
Distance to the lowest polymorph of the same formula = 0.28 eV per formula unit
ρ = 7.00 Mg/m³

a b c (Å): 3.231 3.225 8.894
angles (deg): 68.80 90.00 90.00
Fractional coordinates of all 4 atoms:
Co  0.000  0.943  0.057
Co  0.500  0.346  0.154
K  0.000  0.536  0.464
Pb  0.500  0.674  0.826